[1]
## HSeSBr2 (PBE)

Data for a relaxed HSeSBr2 crystal.

Results
calculated volume	19.4	Å³ per atom
calculated total energy	-1.997	eV/atom
symmetry	P4/mmm
DOS at the Fermi energy	5.53	states/eV per cell

a b c (Å): 5.273 5.273 3.483
angles (deg): 90.00 90.00 90.00
Fractional positions:
H 0.000 0.000 0.000
S 0.500 0.500 0.500
Se 0.000 0.000 0.500
Br 0.000 0.500 0.000
Br 0.500 0.000 0.000

[2]
## RbTi3Mo (PBE)

Data for a relaxed RbTi3Mo crystal.

Results
calculated volume	19.6	Å³ per atom
calculated total energy	-4.804	eV/atom
formation energy from the elements	2.293	eV per atom
symmetry	Pm-3m
DOS at the Fermi energy	9.08	states/eV per cell

a b c (Å): 4.611 4.611 4.611
angles (deg): 90.00 90.00 90.00
Fractional positions:
Mo 0.500 0.500 0.500
Rb 0.000 0.000 0.000
Ti 0.000 0.500 0.000
Ti 0.000 0.000 0.500
Ti 0.500 0.000 0.000

[3]
## Ho5PuIn4 (PBE)

Data for a relaxed Ho5PuIn4 crystal.

Results
calculated volume	26.8	Å³ per atom
calculated total energy	-5.154	eV/atom
formation energy from the elements	-0.336	eV per atom
symmetry	P4/mmm
DOS at the Fermi energy	11.06	states/eV per cell

a b c (Å): 3.518 3.518 21.659
angles (deg): 90.00 90.00 90.00
Fractional positions:
Ho 0.500 0.500 0.110
Ho 0.500 0.500 0.304
Ho 0.500 0.500 0.500
Ho 0.500 0.500 0.696
Ho 0.500 0.500 0.890
Pu 0.000 0.000 0.000
In 0.000 0.000 0.206
In 0.000 0.000 0.402
In 0.000 0.000 0.598
In 0.000 0.000 0.794

[4]
## La5Cu (PBE)

Data for a relaxed La5Cu crystal.

Results
calculated volume	32.8	Å³ per atom
calculated total energy	-4.793	eV/atom
formation energy from the elements	-0.005	eV per atom
symmetry	Cmmm
DOS at the Fermi energy	9.75	states/eV per cell

a b c (Å): 3.790 5.786 9.428
angles (deg): 107.87 90.00 90.00
Fractional positions:
Cu 0.000 0.000 0.000
La 0.500 0.869 0.737
La 0.000 0.685 0.370
La 0.500 0.500 0.000
La 0.000 0.315 0.630
La 0.500 0.131 0.263

[5]
## Tl2CdHg2 (PBE)

Data for a relaxed Tl2CdHg2 crystal.

Results
calculated volume	31.3	Å³ per atom
calculated total energy	-1.118	eV/atom
formation energy from the elements	0.133	eV per atom
symmetry	I4/mmm
DOS at the Fermi energy	3.16	states/eV per cell

a b c (Å): 4.618 4.618 8.035
angles (deg): 73.30 73.30 90.00
Fractional positions:
Tl 0.750 0.250 0.500
Tl 0.250 0.750 0.500
Hg 0.404 0.404 0.192
Hg 0.596 0.596 0.808
Cd 0.000 0.000 0.000

[6]
## Pm3Ge3Ir2 (PBE)

Data for a relaxed Pm3Ge3Ir2 crystal.

Results
calculated volume	21.8	Å³ per atom
calculated total energy	-6.565	eV/atom
formation energy from the elements	-0.837	eV per atom
symmetry	Pnma
DOS at the Fermi energy	20.23	states/eV per cell

a b c (Å): 5.884 8.167 14.518
angles (deg): 90.00 90.00 90.00
Fractional positions:
Pm 0.124 0.459 0.388
Pm 0.624 0.041 0.612
Pm 0.876 0.541 0.888
Pm 0.376 0.959 0.112
Pm 0.876 0.541 0.612
Pm 0.376 0.959 0.388
Pm 0.124 0.459 0.112
Pm 0.624 0.041 0.888
Pm 0.634 0.312 0.250
Pm 0.134 0.188 0.750
Pm 0.366 0.688 0.750
Pm 0.866 0.812 0.250
Ge 0.106 0.164 0.250
Ge 0.606 0.336 0.750
Ge 0.894 0.836 0.750
Ge 0.394 0.664 0.250
Ge 0.625 0.307 0.461
Ge 0.125 0.193 0.539
Ge 0.375 0.693 0.961
Ge 0.875 0.807 0.039
Ge 0.375 0.693 0.539
Ge 0.875 0.807 0.461
Ge 0.625 0.307 0.039
Ge 0.125 0.193 0.961
Ir 0.883 0.090 0.402
Ir 0.383 0.410 0.598
Ir 0.117 0.910 0.902
Ir 0.617 0.590 0.098
Ir 0.117 0.910 0.598
Ir 0.617 0.590 0.402
Ir 0.883 0.090 0.098
Ir 0.383 0.410 0.902

[7]
## CeHo3Pt12 (PBE)

Data for a relaxed CeHo3Pt12 crystal.

Results
calculated volume	17.6	Å³ per atom
calculated total energy	-6.803	eV/atom
formation energy from the elements	-1.044	eV per atom
symmetry	P4/mmm
DOS at the Fermi energy	11.63	states/eV per cell

a b c (Å): 4.127 4.127 16.496
angles (deg): 90.00 90.00 90.00
Fractional positions:
Ce 0.000 0.000 0.000
Ho 0.000 0.000 0.253
Ho 0.000 0.000 0.500
Ho 0.000 0.000 0.747
Pt 0.500 0.500 0.000
Pt 0.500 0.500 0.252
Pt 0.500 0.500 0.500
Pt 0.500 0.500 0.748
Pt 0.500 0.000 0.126
Pt 0.500 0.000 0.376
Pt 0.500 0.000 0.624
Pt 0.500 0.000 0.874
Pt 0.000 0.500 0.126
Pt 0.000 0.500 0.376
Pt 0.000 0.500 0.624
Pt 0.000 0.500 0.874

[8]
## Sr2TeAsS (PBE)

Data for a relaxed Sr2TeAsS crystal.

Results
calculated volume	32.1	Å³ per atom
calculated total energy	-4.045	eV/atom
symmetry	P4/mmm
DOS at the Fermi energy	2.56	states/eV per cell
energy relative to the elements, uncorrected	-989	meV/atom

a b c (Å): 5.792 4.782 5.792
angles (deg): 90.00 90.00 90.00
Fractional positions:
Sr 0.000 0.000 0.500
Sr 0.500 0.000 0.000
As 0.000 0.500 0.000
Te 0.500 0.500 0.500
S 0.000 0.000 0.000

[9]
## Be2CrW (PBE)

Data for a relaxed Be2CrW crystal.

Results
calculated volume	11.2	Å³ per atom
calculated total energy	-7.327	eV/atom
formation energy from the elements	0.180	eV per atom
symmetry	P4mm
DOS at the Fermi energy	2.58	states/eV per cell

a b c (Å): 2.597 2.597 6.659
angles (deg): 90.00 90.00 90.00
Fractional positions:
Cr 0.000 0.000 0.451
W 0.500 0.500 0.781
Be 0.000 0.000 0.047
Be 0.500 0.500 0.220

[10]
## Ac2MgAg9 (PBE)

Data for a relaxed Ac2MgAg9 crystal.

Results
calculated volume	22.8	Å³ per atom
calculated total energy	-3.041	eV/atom
formation energy from the elements	-0.085	eV per atom
symmetry	R-3m
DOS at the Fermi energy	5.89	states/eV per cell

a b c (Å): 5.771 5.771 10.055
angles (deg): 73.32 73.32 60.00
Fractional positions:
Ac 0.865 0.865 0.406
Ac 0.135 0.135 0.594
Mg 0.000 0.000 0.000
Ag 0.667 0.667 0.999
Ag 0.333 0.333 0.001
Ag 0.500 0.500 0.500
Ag 0.418 0.418 0.243
Ag 0.921 0.418 0.243
Ag 0.418 0.921 0.243
Ag 0.582 0.582 0.757
Ag 0.582 0.079 0.757
Ag 0.079 0.582 0.757

[11]
## Dy2C2F (PBE)

Data for a relaxed Dy2C2F crystal.

Results
calculated volume	16.2	Å³ per atom
calculated total energy	-7.201	eV/atom
symmetry	C2/c
DOS at the Fermi energy	1.66	states/eV per cell
energy relative to the elements, uncorrected	-1296	meV/atom

a b c (Å): 4.248 6.327 6.703
angles (deg): 107.97 108.48 90.00
Fractional positions:
Dy 0.819 0.111 0.288
Dy 0.469 0.611 0.288
Dy 0.181 0.889 0.712
Dy 0.531 0.389 0.712
C 0.902 0.486 0.561
C 0.341 0.014 0.439
C 0.098 0.514 0.439
C 0.659 0.986 0.561
F 0.543 0.750 0.000
F 0.457 0.250 0.000

[12]
## AlTcHg2 (PBE)

Data for a relaxed AlTcHg2 crystal.

Results
calculated volume	19.2	Å³ per atom
calculated total energy	-3.424	eV/atom
formation energy from the elements	0.254	eV per atom
symmetry	P4mm
DOS at the Fermi energy	3.01	states/eV per cell

a b c (Å): 2.994 2.994 8.585
angles (deg): 90.00 90.00 89.96
Fractional positions:
Al 0.500 0.500 0.706
Hg 0.000 0.000 0.977
Hg 0.500 0.500 0.288
Tc 0.000 0.000 0.529

[13]
## SrYTm2 (PBE)

Data for a relaxed SrYTm2 crystal.

Results
calculated volume	34.7	Å³ per atom
calculated total energy	-4.126	eV/atom
formation energy from the elements	0.147	eV per atom
symmetry	R3m
DOS at the Fermi energy	5.59	states/eV per cell

a b c (Å): 3.650 3.650 12.210
angles (deg): 81.40 81.40 60.00
Fractional positions:
Sr 0.501 0.501 0.498
Y 0.666 0.666 0.001
Tm 0.077 0.077 0.769
Tm 0.256 0.256 0.232

[14]
## YMgAgIr (PBE)

Data for a relaxed YMgAgIr crystal.

Results
calculated volume	19.6	Å³ per atom
calculated total energy	-5.377	eV/atom
formation energy from the elements	-0.434	eV per atom
symmetry	F-43m
DOS at the Fermi energy	1.91	states/eV per cell

a b c (Å): 4.800 4.800 4.800
angles (deg): 60.00 60.00 60.00
Fractional positions:
Y 0.000 0.000 0.000
Mg 0.500 0.500 0.500
Ir 0.250 0.250 0.250
Ag 0.750 0.750 0.750

[15]
## ErGe2PdRu (PBE)

Data for a relaxed ErGe2PdRu crystal.

Results
calculated volume	17.9	Å³ per atom
calculated total energy	-6.335	eV/atom
formation energy from the elements	-0.682	eV per atom
symmetry	I-4m2
DOS at the Fermi energy	2.38	states/eV per cell

a b c (Å): 4.141 4.141 5.978
angles (deg): 110.27 110.27 90.00
Fractional positions:
Er 0.000 0.000 0.000
Ge 0.620 0.620 0.240
Ge 0.380 0.380 0.760
Pd 0.750 0.250 0.500
Ru 0.250 0.750 0.500

[16]
## ScTcRh2 (PBE)

Data for a relaxed ScTcRh2 crystal.

Results
calculated volume	15.5	Å³ per atom
calculated total energy	-8.033	eV/atom
formation energy from the elements	-0.183	eV per atom
symmetry	F-43m
DOS at the Fermi energy	2.50	states/eV per cell

a b c (Å): 4.441 4.441 4.441
angles (deg): 60.00 60.00 60.00
Fractional positions:
Rh 0.000 0.000 0.000
Rh 0.250 0.250 0.250
Sc 0.500 0.500 0.500
Tc 0.750 0.750 0.750

[17]
## Hf3P2H (PBE)

Data for a relaxed Hf3P2H crystal.

Results
calculated volume	16.3	Å³ per atom
calculated total energy	-8.162	eV/atom
symmetry	C2/c
DOS at the Fermi energy	6.14	states/eV per cell

a b c (Å): 5.186 7.175 6.122
angles (deg): 106.78 115.06 90.00
Fractional positions:
Hf 0.489 0.250 0.000
Hf 0.511 0.750 0.000
Hf 0.157 0.082 0.318
Hf 0.839 0.418 0.682
Hf 0.161 0.582 0.318
Hf 0.843 0.918 0.682
P 0.676 0.586 0.347
P 0.671 0.086 0.347
P 0.329 0.914 0.653
P 0.324 0.414 0.653
H 0.907 0.750 0.000
H 0.093 0.250 0.000

[18]
## Ag6Pd2Au (PBE)

Data for a relaxed Ag6Pd2Au crystal.

Results
calculated volume	17.5	Å³ per atom
calculated total energy	-3.416	eV/atom
formation energy from the elements	0.003	eV per atom
symmetry	C2/c
DOS at the Fermi energy	5.07	states/eV per cell

a b c (Å): 7.179 7.521 7.179
angles (deg): 64.96 86.11 64.96
Fractional positions:
Ag 0.432 0.526 0.679
Ag 0.321 0.974 0.568
Ag 0.568 0.474 0.321
Ag 0.679 0.026 0.432
Ag 0.900 0.143 0.649
Ag 0.351 0.357 0.100
Ag 0.100 0.857 0.351
Ag 0.649 0.643 0.900
Ag 0.234 0.804 0.990
Ag 0.010 0.696 0.766
Ag 0.766 0.196 0.010
Ag 0.990 0.304 0.234
Pd 0.457 0.917 0.207
Pd 0.793 0.583 0.543
Pd 0.543 0.083 0.793
Pd 0.207 0.417 0.457
Au 0.868 0.750 0.132
Au 0.132 0.250 0.868

[19]
## PrSm2Hg5 (PBE)

Data for a relaxed PrSm2Hg5 crystal.

Results
calculated volume	26.4	Å³ per atom
calculated total energy	-2.411	eV/atom
formation energy from the elements	-0.445	eV per atom
symmetry	I4/mmm
DOS at the Fermi energy	4.71	states/eV per cell

a b c (Å): 5.313 5.313 8.379
angles (deg): 108.48 108.48 90.00
Fractional positions:
Pr 0.000 0.000 0.000
Sm 0.732 0.732 0.463
Sm 0.268 0.268 0.537
Hg 0.500 0.500 0.000
Hg 0.875 0.375 0.750
Hg 0.375 0.875 0.750
Hg 0.125 0.625 0.250
Hg 0.625 0.125 0.250

[20]
## NaCaMn2I8 (PBE)

Data for a relaxed NaCaMn2I8 crystal.

Results
calculated volume	43.2	Å³ per atom
calculated total energy	-3.564	eV/atom
symmetry	P-3
DOS at the Fermi energy	10.53	states/eV per cell
energy relative to the elements, uncorrected	-725	meV/atom

a b c (Å): 7.540 7.540 10.519
angles (deg): 90.00 90.00 120.00
Fractional positions:
Na 0.000 0.000 0.000
Ca 0.000 0.000 0.500
Mn 0.667 0.333 0.247
Mn 0.333 0.667 0.753
I 0.333 0.667 0.000
I 0.325 0.331 0.315
I 0.669 0.994 0.315
I 0.667 0.333 0.000
I 0.331 0.006 0.685
I 0.675 0.669 0.685
I 0.994 0.325 0.685
I 0.006 0.675 0.315

[21]
## CdBrO2 (PBE)

Data for a relaxed CdBrO2 crystal.

Results
calculated volume	16.6	Å³ per atom
calculated total energy	-3.567	eV/atom
symmetry	R-3m
DOS at the Fermi energy	2.40	states/eV per cell
energy relative to the elements, uncorrected	-441	meV/atom

a b c (Å): 3.512 3.512 6.537
angles (deg): 105.56 74.45 119.96
Fractional positions:
Br 0.088 0.888 0.556
O 0.194 0.783 0.238
O 0.982 0.994 0.874
Cd 0.588 0.388 0.056

[22]
## CsSrAs (PBE)

Data for a relaxed CsSrAs crystal.

Results
calculated volume	39.0	Å³ per atom
calculated total energy	-2.759	eV/atom
formation energy from the elements	-0.364	eV per atom
symmetry	Pnma
DOS at the Fermi energy	7.90	states/eV per cell

a b c (Å): 8.155 7.282 7.876
angles (deg): 90.00 90.00 90.00
Fractional positions:
Cs 0.510 0.250 0.912
Cs 0.990 0.750 0.412
Cs 0.490 0.750 0.088
Cs 0.010 0.250 0.588
Sr 0.000 0.000 0.000
Sr 0.500 0.500 0.500
Sr 0.500 0.000 0.500
Sr 0.000 0.500 0.000
As 0.250 0.250 0.245
As 0.250 0.750 0.745
As 0.750 0.750 0.755
As 0.750 0.250 0.255

[23]
## La6CoP2Br3 (PBE)

Data for a relaxed La6CoP2Br3 crystal.

Results
calculated volume	28.7	Å³ per atom
calculated total energy	-5.667	eV/atom
symmetry	C2/m
DOS at the Fermi energy	9.55	states/eV per cell
energy relative to the elements, uncorrected	-1291	meV/atom

a b c (Å): 7.341 7.341 7.741
angles (deg): 99.75 99.75 119.03
Fractional positions:
La 0.931 0.618 0.797
La 0.739 0.739 0.220
La 0.069 0.382 0.203
La 0.618 0.931 0.797
La 0.261 0.261 0.780
La 0.382 0.069 0.203
Co 0.000 0.000 0.000
P 0.333 0.667 0.000
P 0.667 0.333 0.000
Br 0.177 0.823 0.500
Br 0.823 0.177 0.500
Br 0.500 0.500 0.500